1.
# Pr6Cd2NO

Crystalline Pr6Cd2NO at its relaxed geometry (PBE, the Alexandria database).

Lattice parameters (Å, degrees): 10.122 10.122 10.122 90.00 90.00 90.00
Space group Fm-3m (No. 225)
Symmetry-distinct sites (fractional):
Pr 0.000 0.000 0.248 x24
Cd 0.250 0.250 0.250 x8
N 0.000 0.000 0.000 x4
O 0.000 0.000 0.500 x4

## Properties
The calculation puts the total magnetic moment at 0.0 Bohr magnetons per cell. For the formation energy (no corrections), the calculation gives -949 kJ/mol of formula units.

---

2.
# Dy2TmAl3

Crystalline Dy2TmAl3 at its relaxed geometry (PBE, the Alexandria database).

Lattice parameters (Å, degrees): 3.568 3.568 10.825 90.00 90.00 90.00
Space group P4/mmm (No. 123)
Symmetry-distinct sites (fractional):
Dy 0.000 0.000 0.169 x2
Tm 0.000 0.000 0.500 x1
Al 0.500 0.500 0.000 x1
Al 0.500 0.500 0.338 x2

## Properties
The formation energy comes out at -0.40 eV per atom. The calculation puts the total magnetic moment at 0.0 Bohr magnetons per cell.

---

3.
# ZrRuSCl2

Crystalline ZrRuSCl2 at its relaxed geometry (PBE, the Alexandria database).

Lattice parameters (Å, degrees): 5.005 5.005 5.000 90.00 90.00 90.00
Space group P4/mmm (No. 123)
Symmetry-distinct sites (fractional):
Zr 0.000 0.000 0.000 x1
Ru 0.500 0.500 0.500 x1
S 0.000 0.000 0.500 x1
Cl 0.000 0.500 0.000 x2

## Properties
The calculation puts the total magnetic moment at 2.9 Bohr magnetons per cell. The value obtained for the offset from the most stable computed form is 0.000 eV per atom. For the formation energy (no corrections), the calculation gives -13 kJ/mol of formula units.

---

4.
# TbCeMgBi

Crystalline TbCeMgBi at its relaxed geometry (PBE, the Alexandria database).

Lattice parameters (Å, degrees): 7.726 7.726 7.726 90.00 90.00 90.00
Space group F-43m (No. 216)
Symmetry-distinct sites (fractional):
Tb 0.000 0.000 0.000 x4
Ce 0.000 0.000 0.500 x4
Mg 0.250 0.250 0.250 x4
Bi 0.250 0.250 0.750 x4

## Properties
The formation energy comes out at -0.27 eV per atom. The calculation puts the total magnetic moment at 5.2 Bohr magnetons per cell.